Below is a relaxed LiAgTe crystal, with properties calculated at the PBE level.

Structure (extended XYZ):
```
3
Lattice="-1.550 1.550 6.927 1.550 -1.550 6.927 1.550 1.550 -6.927" Properties=species:S:1:pos:R:3 pbc="T T T"
Li 0.000 0.000 0.000
Ag 0.000 0.000 8.767
Te 0.000 0.000 4.803
```

## Properties
- E_tot: -2.78 eV per atom
- Energy relative to the elements, uncorrected: -146.4 meV per atom
- SG: I4mm (107)
- Volume: 22.18 Å³ per atom
- ρ: 6.0 g cm⁻³